Crystalline LiZnPt2 at its relaxed geometry. Source: Alexandria, functional GGA-PBE. Values from VASP.

```
&SYSTEM
  ibrav = 0, nat = 4, ntyp = 3
/
ATOMIC_SPECIES
Li 6.94 Li.upf
Pt 195.08 Pt.upf
Zn 65.41 Zn.upf
CELL_PARAMETERS angstrom
3.004 0.000 0.000
0.000 3.004 0.000
0.000 0.000 6.163
ATOMIC_POSITIONS crystal
Li 0.500 0.500 0.746
Pt 0.500 0.500 0.275
Pt 0.000 0.000 0.960
Zn 0.000 0.000 0.519
```

## Properties
ΔE_f (kJ/mol of formula units): -152